w | Material: Hf2Si2Tc
Method: DFT, PBE
State: relaxed

```
Hf2Si2Tc
1.0
6.504 0.000 0.000
0.000 6.504 0.000
0.000 0.000 3.892
Tc Si Hf
2 4 4
Direct
0.500 0.500 0.000
0.000 0.000 0.000
0.369 0.869 0.000
0.869 0.631 0.000
0.631 0.131 0.000
0.131 0.369 0.000
0.173 0.673 0.500
0.327 0.173 0.500
0.673 0.827 0.500
0.827 0.327 0.500
```

* mass density: 10.31 g/cm3
* total magnetization: 0.35 μB/cell

***

x | Material: Hf2Si2Tc
Method: DFT, PBE
State: relaxed

```
Hf2Si2Tc
1.0
2.390 -2.390 0.000
2.390 2.390 0.000
-2.390 0.000 7.685
Si Hf Tc
2 2 1
Direct
0.250 0.750 0.500
0.750 0.250 0.500
0.601 0.601 0.202
0.399 0.399 0.798
0.000 0.000 0.000
```

* mass density: 9.66 g/cm3
* total magnetization: 0.00 μB/cell

***

Q: Which of them is the least stable? A: x.